[1]
CeMgGa PBE relaxed; SG = I4/mmm, No. 139
1.0
-1.653 -2.792 -0.431
2.148 -0.919 -2.292
6.725 -3.619 10.092
Mg Ga Ce
2 2 2
Direct
0.293 0.293 0.587
0.707 0.707 0.413
0.862 0.862 0.724
0.138 0.138 0.276
0.446 0.446 0.892
0.554 0.554 0.108



[2]
Ce2MgGa PBE relaxed; SG = Amm2, No. 38
1.0
-4.664 1.469 1.505
1.275 -2.189 6.089
1.396 6.208 -1.734
Ce Mg Ga
4 2 2
Direct
0.000 0.860 0.653
0.000 0.347 0.140
0.000 0.797 0.203
0.500 0.166 0.834
0.500 0.174 0.343
0.500 0.657 0.826
0.500 0.649 0.351
0.000 0.349 0.651



[3]
Ce2Mg3Ga4 PBE relaxed; SG = Cmce, No. 64
1.0
-1.356 5.893 0.962
-3.979 0.188 -6.757
-6.152 -5.165 3.479
Mg Ce Ga
6 4 8
Direct
0.483 0.250 0.466
0.500 0.500 0.000
0.983 0.250 0.466
0.017 0.750 0.534
0.517 0.750 0.534
0.000 0.000 0.000
0.403 0.097 0.806
0.597 0.903 0.194
0.903 0.403 0.806
0.097 0.597 0.194
0.168 0.976 0.335
0.314 0.250 0.129
0.332 0.476 0.665
0.668 0.524 0.335
0.686 0.750 0.871
0.186 0.750 0.871
0.814 0.250 0.129
0.832 0.024 0.665



[4]
Ce2MgGa6 PBE relaxed; SG = Immm, No. 71
1.0
4.423 0.000 0.000
0.000 6.674 0.000
-2.211 -3.337 6.673
Ga Ce Mg
6 2 1
Direct
0.500 0.241 0.000
0.695 0.896 0.390
0.695 0.494 0.390
0.305 0.104 0.610
0.305 0.506 0.610
0.500 0.759 0.000
0.896 0.896 0.791
0.104 0.104 0.209
0.000 0.500 0.000



[5]
Ce3Mg2Ga4 PBE relaxed; SG = C2/m, No. 12; excess energy over the best structure of this formula in the dataset = 30 meV per atom
1.0
-2.279 3.310 -2.065
-3.337 -4.095 2.062
-0.471 4.491 7.716
Mg Ce Ga
2 3 4
Direct
0.700 0.401 0.772
0.300 0.599 0.228
0.605 0.210 0.407
0.000 0.000 0.000
0.395 0.790 0.593
0.693 0.385 0.081
0.909 0.818 0.352
0.091 0.182 0.648
0.307 0.615 0.919



[6]
Ce2Mg6Ga3 PBE relaxed; SG = P-62m, No. 189
1.0
4.408 0.000 0.000
0.000 7.122 -4.112
0.000 0.000 8.223
Mg Ce Ga
6 2 3
Direct
0.500 0.284 0.000
0.000 0.209 0.209
0.000 0.791 0.000
0.000 0.000 0.791
0.500 0.000 0.284
0.500 0.716 0.716
0.000 0.667 0.333
0.000 0.333 0.667
0.500 0.394 0.394
0.500 0.606 0.000
0.500 0.000 0.606



[7]
Ce5MgGa4 PBE relaxed; SG = P4/mmm, No. 123
1.0
-0.548 -3.706 -1.126
3.727 -0.815 0.867
-4.302 -3.879 14.855
Ce Ga Mg
5 4 1
Direct
0.500 0.500 0.879
0.500 0.500 0.303
0.500 0.500 0.697
0.500 0.500 0.121
0.500 0.500 0.500
0.000 0.000 0.600
0.000 0.000 0.400
0.000 0.000 0.791
0.000 0.000 0.209
0.000 0.000 0.000



[8]
CeMg4Ga2 PBE relaxed; SG = Cmmm, No. 65
1.0
-3.818 1.644 -1.349
-0.427 -3.319 -2.839
-3.676 -2.705 7.107
Mg Ga Ce
4 2 1
Direct
0.500 0.177 0.354
0.500 0.823 0.646
0.000 0.679 0.359
0.000 0.321 0.641
0.500 0.575 0.151
0.500 0.425 0.849
0.000 0.000 0.000



[9]
Ce3Mg7Ga4 PBE relaxed; SG = C2/m, No. 12
1.0
4.399 0.000 1.110
1.619 8.128 2.857
0.059 0.043 9.039
Ce Mg Ga
3 7 4
Direct
0.701 0.814 0.785
0.000 0.500 0.500
0.299 0.186 0.215
0.509 0.788 0.195
0.672 0.172 0.485
0.163 0.605 0.069
0.491 0.212 0.805
0.000 0.000 0.000
0.328 0.828 0.515
0.837 0.395 0.931
0.347 0.548 0.758
0.126 0.087 0.662
0.874 0.913 0.338
0.653 0.452 0.242



[10]
CeMg3Ga3 PBE relaxed; SG = P2_1/m, No. 11; excess energy over the best structure of this formula in the dataset = 0 meV per atom
1.0
4.600 0.000 0.000
0.000 6.834 -3.651
0.000 0.967 9.016
Ga Mg Ce
6 6 2
Direct
0.250 0.343 0.470
0.250 0.063 0.595
0.750 0.937 0.405
0.750 0.428 0.046
0.750 0.657 0.530
0.250 0.572 0.954
0.750 0.262 0.267
0.250 0.738 0.733
0.250 0.195 0.975
0.750 0.011 0.777
0.750 0.805 0.025
0.250 0.989 0.223
0.250 0.615 0.307
0.750 0.385 0.693



[11]
CeMgGa PBE relaxed; SG = F-43m, No. 216
1.0
-3.725 1.170 2.851
-2.158 -3.401 2.675
0.540 0.000 4.805
Ce Ga Mg
1 1 1
Direct
0.000 0.000 0.000
0.250 0.250 0.250
0.500 0.500 0.500



[12]
CeMg2Ga6 PBE relaxed; SG = P6/mmm, No. 191
1.0
-3.079 -0.961 -0.408
2.435 -5.707 -4.920
-0.578 -1.446 7.764
Ga Mg Ce
6 2 1
Direct
0.500 0.661 0.000
0.500 0.000 0.339
0.500 0.339 0.000
0.500 0.000 0.661
0.500 0.661 0.661
0.500 0.339 0.339
0.000 0.333 0.667
0.000 0.667 0.333
0.000 0.000 0.000



Number 1: formation enthalpy at 0 K -147 meV/atom, density of states at the Fermi level 1.3956 states/eV per atom. Number 2: formation enthalpy at 0 K -207 meV/atom, density of states at the Fermi level 2.0659 states/eV per atom. Number 3: formation enthalpy at 0 K -313 meV/atom, density of states at the Fermi level 1.6012 states/eV per atom. Number 4: formation enthalpy at 0 K -337 meV/atom, density of states at the Fermi level 1.0158 states/eV per atom. Number 5: formation enthalpy at 0 K -368 meV/atom, density of states at the Fermi level 1.7249 states/eV per atom. Number 6: formation enthalpy at 0 K -190 meV/atom, density of states at the Fermi level 1.5918 states/eV per atom. Number 7: formation enthalpy at 0 K -351 meV/atom, density of states at the Fermi level 2.3305 states/eV per atom. Number 8: formation enthalpy at 0 K -256 meV/atom, density of states at the Fermi level 1.1325 states/eV per atom. Number 9: formation enthalpy at 0 K -270 meV/atom, density of states at the Fermi level 1.5359 states/eV per atom. Number 10: formation enthalpy at 0 K -234 meV/atom, density of states at the Fermi level 0.9805 states/eV per atom. Number 11: formation enthalpy at 0 K -240 meV/atom, density of states at the Fermi level 2.4807 states/eV per atom. Number 12: formation enthalpy at 0 K -265 meV/atom, density of states at the Fermi level 0.5884 states/eV per atom.